A plane-wave DFT calculation with PBE was carried out for an optimized crystal structure of Mg2AuCl.

The structure in POSCAR format:
```
Mg2AuCl
1.0
7.711 0.591 -0.973
6.782 3.717 -0.973
0.461 0.137 3.398
Au Mg Cl
1 2 1
Direct
0.437 0.437 0.496
0.827 0.827 0.003
0.037 0.037 0.988
0.200 0.200 0.013
```

Results
formation energy (no corrections)	-850.9	meV/atom
energy above the lowest structure with this stoichiometry	0.0000	eV per atom
crystal system	monoclinic